[1]
DFT (PBE-GGA) results for an optimized crystal structure of P2H4I3.

SG = C2/c (15)
E = -58.385 eV/cell

Lattice parameters (Å, degrees): 7.3978 7.3978 9.7861 92.02 92.02 65.31
Fractional coordinates of all 18 atoms:
1 P 0.1790 0.2114 0.1497
2 P 0.2114 0.1790 0.6497
3 P 0.7886 0.8210 0.3503
4 P 0.8210 0.7886 0.8503
5 H 0.0192 0.3004 0.0535
6 H 0.0981 0.3619 0.2534
7 H 0.3004 0.0192 0.5535
8 H 0.3619 0.0981 0.7534
9 H 0.6381 0.9019 0.2466
10 H 0.6996 0.9808 0.4465
11 H 0.9019 0.6381 0.7466
12 H 0.9808 0.6996 0.9465
13 I 0.0537 0.9463 0.2500
14 I 0.3412 0.4247 0.5515
15 I 0.4247 0.3412 0.0515
16 I 0.5753 0.6588 0.9485
17 I 0.6588 0.5753 0.4485
18 I 0.9463 0.0537 0.7500

[2]
DFT (PBE-GGA) results for an optimized crystal structure of SrCa2LaCu.

Energy above the most stable polymorph in this dataset = 125 meV/atom
SG = P4/mmm (123)
Calculated formation energy = 0.14 eV/atom
E = -14.020 eV/cell

Lattice parameters (Å, degrees): 5.6951 5.6951 5.8730 90.00 90.00 90.00
Fractional coordinates of all 5 atoms:
1 Sr 0.0000 0.0000 0.0000
2 Ca 0.0000 0.5000 0.5000
3 Ca 0.5000 0.0000 0.5000
4 La 0.5000 0.5000 0.0000
5 Cu 0.0000 0.0000 0.5000

[3]
DFT (PBE-GGA) results for an optimized crystal structure of Pm5Dy4Th2.

Energy above the most stable polymorph in this dataset = 0 meV/atom
SG = P2/m (10)
Calculated formation energy = 0.13 eV/atom
E = -55.600 eV/cell

Lattice parameters (Å, degrees): 8.8843 3.5120 11.8584 90.00 94.31 90.00
Fractional coordinates of all 11 atoms:
1 Pm 0.0000 0.0000 0.0000
2 Pm 0.0742 0.0000 0.2898
3 Pm 0.3068 0.0000 0.8368
4 Pm 0.6932 0.0000 0.1632
5 Pm 0.9258 0.0000 0.7102
6 Dy 0.1969 0.5000 0.5457
7 Dy 0.3402 0.5000 0.1082
8 Dy 0.6598 0.5000 0.8918
9 Dy 0.8031 0.5000 0.4543
10 Th 0.4615 0.0000 0.3670
11 Th 0.5385 0.0000 0.6330

[4]
DFT (PBE-GGA) results for an optimized crystal structure of Y2MgS4.

Energy above the most stable polymorph in this dataset = 13 meV/atom
SG = Pnma (62)
Formation energy from raw total energies = -1879.4 meV per atom
E = -176.753 eV/cell

Lattice parameters (Å, degrees): 13.5192 7.9152 6.5457 90.00 90.00 90.00
Fractional coordinates of all 28 atoms:
1 Y 0.0000 0.0000 0.0000
2 Y 0.0000 0.5000 0.0000
3 Y 0.2315 0.2500 0.4933
4 Y 0.2685 0.7500 0.9933
5 Y 0.5000 0.0000 0.5000
6 Y 0.5000 0.5000 0.5000
7 Y 0.7315 0.2500 0.0067
8 Y 0.7685 0.7500 0.5067
9 Mg 0.0959 0.7500 0.4204
10 Mg 0.4041 0.2500 0.9204
11 Mg 0.5959 0.7500 0.0796
12 Mg 0.9041 0.2500 0.5796
13 S 0.0694 0.2500 0.7446
14 S 0.0906 0.7500 0.7870
15 S 0.1702 0.5098 0.2368
16 S 0.1702 0.9902 0.2368
17 S 0.3298 0.0098 0.7368
18 S 0.3298 0.4902 0.7368
19 S 0.4094 0.2500 0.2870
20 S 0.4306 0.7500 0.2446
21 S 0.5694 0.2500 0.7554
22 S 0.5906 0.7500 0.7130
23 S 0.6702 0.5098 0.2632
24 S 0.6702 0.9902 0.2632
25 S 0.8298 0.0098 0.7632
26 S 0.8298 0.4902 0.7632
27 S 0.9094 0.2500 0.2130
28 S 0.9306 0.7500 0.2554

[5]
DFT (PBE-GGA) results for an optimized crystal structure of K2ScPt.

Energy above the most stable polymorph in this dataset = 19 meV/atom
SG = P4mm (99)
Calculated formation energy = -0.24 eV/atom
E = -15.546 eV/cell

Lattice parameters (Å, degrees): 3.6617 3.6617 10.5401 90.00 90.00 90.00
Fractional coordinates of all 4 atoms:
1 K 0.0000 0.0000 0.0000
2 K 0.5000 0.5000 0.3876
3 Sc 0.5000 0.5000 0.7104
4 Pt 0.0000 0.0000 0.6354

[6]
DFT (PBE-GGA) results for an optimized crystal structure of KRb2CuCl6.

SG = P2_1/c (14)
Formation energy from raw total energies = -1287.2 meV per atom
E = -62.161 eV/cell

Lattice parameters (Å, degrees): 7.4645 7.6398 12.9421 90.00 124.83 90.00
Fractional coordinates of all 20 atoms:
1 K 0.0000 0.0000 0.0000
2 K 0.0000 0.5000 0.5000
3 Rb 0.2655 0.0538 0.7517
4 Rb 0.2655 0.4462 0.2517
5 Rb 0.7345 0.5538 0.7483
6 Rb 0.7345 0.9462 0.2483
7 Cu 0.5000 0.0000 0.5000
8 Cu 0.5000 0.5000 0.0000
9 Cl 0.2127 0.0141 0.2834
10 Cl 0.2127 0.4859 0.7834
11 Cl 0.2766 0.6760 0.0358
12 Cl 0.2766 0.8240 0.5358
13 Cl 0.3656 0.2402 0.0385
14 Cl 0.3656 0.2598 0.5385
15 Cl 0.6344 0.7402 0.4615
16 Cl 0.6344 0.7598 0.9615
17 Cl 0.7234 0.1760 0.4642
18 Cl 0.7234 0.3240 0.9642
19 Cl 0.7873 0.5141 0.2166
20 Cl 0.7873 0.9859 0.7166